Below is a relaxed V6O7F5 crystal, with properties calculated at the PBE with a Hubbard U level.

Geometry as POSCAR:
```
V6O7F5
1.0
4.753 0.000 0.000
0.397 5.629 0.000
0.400 0.633 7.717
V O F
6 7 5
direct
0.000 0.000 0.000
0.003 0.329 0.673
0.010 0.665 0.343
0.504 0.164 0.339
0.507 0.500 0.006
0.552 0.864 0.688
0.305 0.467 0.239
0.313 0.128 0.576
0.316 0.804 0.903
0.703 0.865 0.445
0.706 0.198 0.107
0.707 0.544 0.771
0.807 0.040 0.773
0.200 0.964 0.237
0.201 0.302 0.905
0.203 0.626 0.573
0.812 0.365 0.439
0.812 0.701 0.109
```

Results
As for the space group: P1 (1). The distance to the lowest polymorph of the same formula comes out at 0.015 eV per atom. The total energy comes out at -7.260 eV per atom.